# 1
Th2Ni12Ge3Rh | PBE-GGA | relaxed

Geometry as POSCAR:
```
Th2Ni12Ge3Rh
1.0
4.2900 2.4768 4.0602
-4.2900 2.4768 4.0602
0.0000 -4.9537 4.0602
Th Ni Ge Rh
2 12 3 1
direct
0.1701 0.1701 0.1701
0.8299 0.8299 0.8299
0.1064 0.1064 0.6088
0.1064 0.6088 0.1064
0.2051 0.6969 0.6969
0.3031 0.3031 0.7949
0.3031 0.7949 0.3031
0.3912 0.8936 0.8936
0.6088 0.1064 0.1064
0.6969 0.2051 0.6969
0.6969 0.6969 0.2051
0.7949 0.3031 0.3031
0.8936 0.3912 0.8936
0.8936 0.8936 0.3912
0.0000 0.5000 0.5000
0.5000 0.0000 0.5000
0.5000 0.5000 0.0000
0.5000 0.5000 0.5000
```

Results
Formation enthalpy at 0 K in eV/atom: -0.069
M_tot in μB per cell: 0.0
SG: R-3m, No. 166

# 2
Li2Pd3Pt3 | PBE-GGA | relaxed

Geometry as POSCAR:
```
Li2Pd3Pt3
1.0
3.8862 0.0000 0.0000
0.0000 3.9254 0.0000
0.0000 0.0000 7.6785
Li Pd Pt
2 3 3
direct
0.0000 0.0000 0.2495
0.0000 0.0000 0.7505
0.0000 0.5000 0.5000
0.5000 0.0000 0.0000
0.5000 0.0000 0.5000
0.0000 0.5000 0.0000
0.5000 0.5000 0.2504
0.5000 0.5000 0.7496
```

Results
Formation enthalpy at 0 K in eV/atom: -0.341
M_tot in μB per cell: 0.0
SG: Pmmm, No. 47

# 3
Ca2DyHg3 | PBE-GGA | relaxed

Geometry as POSCAR:
```
Ca2DyHg3
1.0
3.7851 0.0000 0.0000
0.0000 3.7851 0.0000
0.0000 0.0000 11.1753
Ca Dy Hg
2 1 3
direct
0.0000 0.0000 0.1685
0.0000 0.0000 0.8315
0.0000 0.0000 0.5000
0.5000 0.5000 0.0000
0.5000 0.5000 0.3426
0.5000 0.5000 0.6574
```

Results
Formation enthalpy at 0 K in eV/atom: -0.534
M_tot in μB per cell: 0.0
Energy above the lowest structure with this stoichiometry in eV per atom: 0.004
SG: P4/mmm, No. 123

# 4
YHoCo | PBE-GGA | relaxed

Geometry as POSCAR:
```
YHoCo
1.0
6.6258 0.0000 0.0000
0.0000 6.6258 0.0000
0.0000 0.0000 6.6258
Y Ho Co
4 4 4
direct
0.0000 0.0000 0.0000
0.0000 0.5000 0.5000
0.5000 0.0000 0.5000
0.5000 0.5000 0.0000
0.0000 0.0000 0.5000
0.0000 0.5000 0.0000
0.5000 0.0000 0.0000
0.5000 0.5000 0.5000
0.2500 0.2500 0.7500
0.2500 0.7500 0.2500
0.7500 0.2500 0.2500
0.7500 0.7500 0.7500
```

Results
Formation enthalpy at 0 K in eV/atom: -0.046
M_tot in μB per cell: 0.0
Energy above the lowest structure with this stoichiometry in eV per atom: 0.092
SG: F-43m, No. 216